# 1
! K7As (PBE-GGA, relaxed); values from VASP
&SYSTEM
  ibrav = 0, nat = 8, ntyp = 2
/
ATOMIC_SPECIES
K 39.10 K.upf
As 74.92 As.upf
ATOMIC_POSITIONS crystal
K 0.500 0.000 0.500
K 0.500 0.000 0.000
K 0.000 0.500 0.500
K 0.500 0.500 0.000
K 0.000 0.000 0.500
K 0.000 0.500 0.000
K 0.500 0.500 0.500
As 0.000 0.000 0.000
CELL_PARAMETERS angstrom
0.000 5.948 5.948
5.948 0.000 5.948
5.948 5.948 0.000
! DOS at the Fermi energy	5.4	states/eV/cell
! magnetization	1.283	Bohr magnetons per cell
! energy of formation from the pure elements	57	kJ/mol of formula units
! total DFT energy (no corrections)	-1.47	eV/atom

=====

# 2
! CaLaRu (PBE-GGA, relaxed); values from VASP
&SYSTEM
  ibrav = 0, nat = 12, ntyp = 3
/
ATOMIC_SPECIES
Ca 40.08 Ca.upf
Ru 101.07 Ru.upf
La 138.91 La.upf
ATOMIC_POSITIONS crystal
Ca 0.444 0.548 0.253
Ca 0.056 0.048 0.747
Ca 0.556 0.452 0.747
Ca 0.944 0.952 0.253
Ru 0.243 0.740 0.517
Ru 0.743 0.760 0.517
Ru 0.257 0.240 0.483
Ru 0.757 0.260 0.483
La 0.558 0.948 0.743
La 0.942 0.448 0.257
La 0.058 0.552 0.743
La 0.442 0.052 0.257
CELL_PARAMETERS angstrom
6.815 0.000 0.738
0.000 6.941 0.000
-2.218 0.000 6.965
! DOS at the Fermi energy	9.5	states/eV/cell
! magnetization	0.000	Bohr magnetons per cell
! ΔE to the lowest computed polymorph	6	meV per atom
! energy of formation from the pure elements	-16	kJ/mol of formula units
! total DFT energy (no corrections)	-5.46	eV/atom